DFT (PBE) results for a geometry-optimized Mn2FeSb structure.

Cell lengths 5.3574, 8.8423, 2.8935 Å; angles 90.00, 119.29, 90.00 degrees
Space group C2/m (No. 12)
Unique sites:
Mn (0.2500, 0.2500, 0.0000) (multiplicity 4)
Fe (0.0000, 0.0000, 0.5000) (multiplicity 2)
Sb (0.0000, 0.5000, 0.5000) (multiplicity 2)

Output
As for the uncorrected formation energy: 0.370 eV per atom.


DFT (PBE) results for a geometry-optimized ThIn7 structure.

Cell lengths 9.5267, 9.5267, 9.5267 Å; angles 90.00, 90.00, 90.00 degrees
Space group Fm-3m (No. 225)
Unique sites:
Th (0.0000, 0.0000, 0.0000) (multiplicity 4)
In (0.0000, 0.0000, 0.5000) (multiplicity 4)
In (0.0000, 0.2500, 0.2500) (multiplicity 24)

Output
The calculation puts the formation energy from the elements at -0.13 eV per atom.


DFT (PBE) results for a geometry-optimized AcPr6SmTm2 structure.

Cell lengths 9.3942, 15.4829, 9.9970 Å; angles 90.00, 98.29, 90.00 degrees
Space group C2/c (No. 15)
Unique sites:
Ac (0.0000, 0.1006, 0.2500) (multiplicity 4)
Pr (0.0642, 0.3282, 0.4429) (multiplicity 8)
Pr (0.0992, 0.1068, 0.6230) (multiplicity 8)
Pr (0.1995, 0.2705, 0.8256) (multiplicity 8)
Sm (0.0000, 0.4669, 0.7500) (multiplicity 4)
Tm (0.2434, 0.4525, 0.0463) (multiplicity 8)

Output
The calculation puts the formation energy from the elements at 0.11 eV per atom.


DFT (PBE) results for a geometry-optimized TaTcP2Cl structure.

Cell lengths 4.8665, 4.8665, 4.7168 Å; angles 90.00, 90.00, 90.00 degrees
Space group P4/mmm (No. 123)
Unique sites:
Ta (0.0000, 0.0000, 0.0000) (multiplicity 1)
Tc (0.5000, 0.5000, 0.5000) (multiplicity 1)
P (0.0000, 0.5000, 0.0000) (multiplicity 2)
Cl (0.0000, 0.0000, 0.5000) (multiplicity 1)

Output
As for the distance to the lowest polymorph of the same formula: 0 meV per atom. As for the uncorrected formation energy: 0.745 eV per atom.


DFT (PBE) results for a geometry-optimized InHgI3 structure.

Cell lengths 8.5589, 8.3597, 14.2583 Å; angles 90.00, 121.30, 90.00 degrees
Space group P2_1/c (No. 14)
Unique sites:
In (0.1481, 0.0996, 0.1992) (multiplicity 4)
Hg (0.2675, 0.5549, 0.0709) (multiplicity 4)
I (0.0546, 0.2480, 0.9460) (multiplicity 4)
I (0.3000, 0.7134, 0.9149) (multiplicity 4)
I (0.4495, 0.0558, 0.7824) (multiplicity 4)

Output
As for the distance to the lowest polymorph of the same formula: 7 meV per atom. As for the uncorrected formation energy: -0.341 eV per atom.


no.,D(E_F) (states/eV/cell),total DFT energy (no corrections) (eV/atom),magnetic moment (μB per formula unit)
1,7.56,-7.36,7.85
2,16.14,-3.45,0.00
3,58.57,-4.53,0.00
4,3.04,-6.23,4.47
5,0.00,-1.88,0.00